# 1
DFT (PBE-GGA) results for a relaxed K2DyCu2O4 crystal.

The structure in CIF format:
```
data_K2DyCu2O4
_space_group_name_H-M_alt 'C 1 2/m 1'
_space_group_IT_number 12
_space_group_name_Hall '-C 2y'
_cell_length_a 13.248
_cell_length_b 3.409
_cell_length_c 6.487
_cell_angle_alpha 90.00
_cell_angle_beta 107.62
_cell_angle_gamma 90.00
loop_
_atom_site_label
_atom_site_type_symbol
_atom_site_fract_x
_atom_site_fract_y
_atom_site_fract_z
K1 K 0.126 0.000 0.052
Dy1 Dy 0.000 0.000 0.500
Cu1 Cu 0.186 0.500 0.533
O1 O 0.034 0.500 0.295
O2 O 0.187 0.000 0.679
```

# 2
DFT (PBE-GGA) results for a relaxed Tl4CoBr crystal.

The structure in CIF format:
```
data_Tl4CoBr
_space_group_name_H-M_alt 'F -4 3 m'
_space_group_IT_number 216
_space_group_name_Hall 'F -4 2 3'
_cell_length_a 9.056
_cell_length_b 9.056
_cell_length_c 9.056
_cell_angle_alpha 90.00
_cell_angle_beta 90.00
_cell_angle_gamma 90.00
loop_
_atom_site_label
_atom_site_type_symbol
_atom_site_fract_x
_atom_site_fract_y
_atom_site_fract_z
Tl1 Tl 0.125 0.125 0.125
Co1 Co 0.000 0.000 0.500
Br1 Br 0.250 0.250 0.750
```

# 3
DFT (PBE-GGA) results for a relaxed AcAgSb3 crystal.

The structure in CIF format:
```
data_AcAgSb3
_space_group_name_H-M_alt 'P m -3 m'
_space_group_IT_number 221
_space_group_name_Hall '-P 4 2 3'
_cell_length_a 5.407
_cell_length_b 5.407
_cell_length_c 5.407
_cell_angle_alpha 90.00
_cell_angle_beta 90.00
_cell_angle_gamma 90.00
loop_
_atom_site_label
_atom_site_type_symbol
_atom_site_fract_x
_atom_site_fract_y
_atom_site_fract_z
Ac1 Ac 0.000 0.000 0.000
Ag1 Ag 0.500 0.500 0.500
Sb1 Sb 0.000 0.500 0.500
```

# 4
DFT (PBE-GGA) results for a relaxed SrLiZn2Te crystal.

The structure in CIF format:
```
data_SrLiZn2Te
_space_group_name_H-M_alt 'P 4/m m m'
_space_group_IT_number 123
_space_group_name_Hall '-P 4 2'
_cell_length_a 5.970
_cell_length_b 5.970
_cell_length_c 6.142
_cell_angle_alpha 90.00
_cell_angle_beta 90.00
_cell_angle_gamma 90.00
loop_
_atom_site_label
_atom_site_type_symbol
_atom_site_fract_x
_atom_site_fract_y
_atom_site_fract_z
Sr1 Sr 0.000 0.000 0.000
Li1 Li 0.500 0.500 0.500
Zn1 Zn 0.000 0.500 0.000
Te1 Te 0.000 0.000 0.500
```

# 5
DFT (PBE-GGA) results for a relaxed NdPaTi2 crystal.

The structure in CIF format:
```
data_NdPaTi2
_space_group_name_H-M_alt 'P 4/m m m'
_space_group_IT_number 123
_space_group_name_Hall '-P 4 2'
_cell_length_a 3.676
_cell_length_b 3.676
_cell_length_c 7.037
_cell_angle_alpha 90.00
_cell_angle_beta 90.00
_cell_angle_gamma 90.00
loop_
_atom_site_label
_atom_site_type_symbol
_atom_site_fract_x
_atom_site_fract_y
_atom_site_fract_z
Nd1 Nd 0.000 0.000 0.000
Pa1 Pa 0.000 0.000 0.500
Ti1 Ti 0.500 0.500 0.307
```

# 6
DFT (PBE-GGA) results for a relaxed MgPt2Se crystal.

The structure in CIF format:
```
data_MgPt2Se
_space_group_name_H-M_alt 'I -4 m 2'
_space_group_IT_number 119
_space_group_name_Hall 'I -4 -2'
_cell_length_a 3.933
_cell_length_b 3.933
_cell_length_c 8.625
_cell_angle_alpha 90.00
_cell_angle_beta 90.00
_cell_angle_gamma 90.00
loop_
_atom_site_label
_atom_site_type_symbol
_atom_site_fract_x
_atom_site_fract_y
_atom_site_fract_z
Mg1 Mg 0.000 0.000 0.000
Pt1 Pt 0.000 0.000 0.500
Pt2 Pt 0.000 0.500 0.750
Se1 Se 0.000 0.500 0.250
```

Total magnetization in μB per cell, matching the order above: 0.58, 8.18, 0.00, 0.00, 0.00, 0.00
Raw total energy in eV/atom, matching the order above: -5.40, -2.53, -3.97, -1.68, -7.35, -4.60
DOS(E_F) in states/eV/f.u., matching the order above: 6.1, 7.0, 3.5, 2.6, 6.3, 2.1